Record 1
Below is AlAg2AsOs after structural relaxation, with properties calculated at the PBE level.

```
data_AlAg2AsOs
_cell_length_a 4.854
_cell_length_b 4.854
_cell_length_c 4.637
_cell_angle_alpha 90.00
_cell_angle_beta 90.00
_cell_angle_gamma 90.00
_space_group_name_H-M_alt 'P 4/m m m'
_space_group_IT_number 123
_space_group_name_Hall '-P 4 2'
loop_
_atom_site_label
_atom_site_type_symbol
_atom_site_fract_x
_atom_site_fract_y
_atom_site_fract_z
Al1 Al 0.000 0.000 0.000
Ag1 Ag 0.000 0.500 0.500
As1 As 0.500 0.500 0.500
Os1 Os 0.500 0.500 0.000
```

Results
N(E_F) = 1.271 states/eV/atom
E_form = 0.9772 eV/atom
Magnetic moment = 0.00 μB/cell

Record 2
Below is AlAg2AsPb after structural relaxation, with properties calculated at the PBE level.

```
data_AlAg2AsPb
_cell_length_a 4.869
_cell_length_b 4.869
_cell_length_c 5.489
_cell_angle_alpha 90.00
_cell_angle_beta 90.00
_cell_angle_gamma 90.00
_space_group_name_H-M_alt 'P 4/m m m'
_space_group_IT_number 123
_space_group_name_Hall '-P 4 2'
loop_
_atom_site_label
_atom_site_type_symbol
_atom_site_fract_x
_atom_site_fract_y
_atom_site_fract_z
Al1 Al 0.000 0.000 0.000
Ag1 Ag 0.000 0.500 0.000
As1 As 0.500 0.500 0.500
Pb1 Pb 0.000 0.000 0.500
```

Results
N(E_F) = 0.728 states/eV/atom
E_form = 0.6327 eV/atom
Magnetic moment = 0.00 μB/cell

Record 3
Below is PmAlAgAs after structural relaxation, with properties calculated at the PBE level.

```
data_PmAlAgAs
_cell_length_a 7.059
_cell_length_b 7.059
_cell_length_c 7.059
_cell_angle_alpha 90.00
_cell_angle_beta 90.00
_cell_angle_gamma 90.00
_space_group_name_H-M_alt 'F -4 3 m'
_space_group_IT_number 216
_space_group_name_Hall 'F -4 2 3'
loop_
_atom_site_label
_atom_site_type_symbol
_atom_site_fract_x
_atom_site_fract_y
_atom_site_fract_z
Pm1 Pm 0.000 0.000 0.000
Al1 Al 0.000 0.000 0.500
Ag1 Ag 0.250 0.250 0.750
As1 As 0.250 0.250 0.250
```

Results
N(E_F) = 1.254 states/eV/atom
E_form = -0.2887 eV/atom
Magnetic moment = 0.00 μB/cell

Record 4
Below is Rb2AlAgAs2 after structural relaxation, with properties calculated at the PBE level.

```
data_Rb2AlAgAs2
_cell_length_a 6.425
_cell_length_b 16.537
_cell_length_c 6.353
_cell_angle_alpha 90.00
_cell_angle_beta 90.00
_cell_angle_gamma 90.00
_space_group_name_H-M_alt 'I b a m'
_space_group_IT_number 72
_space_group_name_Hall '-I 2 2c'
loop_
_atom_site_label
_atom_site_type_symbol
_atom_site_fract_x
_atom_site_fract_y
_atom_site_fract_z
Rb1 Rb 0.220 0.171 0.000
Al1 Al 0.000 0.500 0.250
Ag1 Ag 0.000 0.000 0.250
As1 As 0.211 0.410 0.000
```

Results
E_form = -0.4289 eV/atom
Magnetic moment = 0.00 μB/cell

Record 5
Below is AlAgAs2Rh after structural relaxation, with properties calculated at the PBE level.

```
data_AlAgAs2Rh
_cell_length_a 4.840
_cell_length_b 4.840
_cell_length_c 4.689
_cell_angle_alpha 90.00
_cell_angle_beta 90.00
_cell_angle_gamma 90.00
_space_group_name_H-M_alt 'P 4/m m m'
_space_group_IT_number 123
_space_group_name_Hall '-P 4 2'
loop_
_atom_site_label
_atom_site_type_symbol
_atom_site_fract_x
_atom_site_fract_y
_atom_site_fract_z
Al1 Al 0.000 0.000 0.000
Ag1 Ag 0.500 0.500 0.000
As1 As 0.000 0.500 0.500
Rh1 Rh 0.000 0.000 0.500
```

Results
N(E_F) = 0.718 states/eV/atom
E_form = 0.3417 eV/atom
Magnetic moment = 0.00 μB/cell

Record 6
Below is AlAgSbAs2 after structural relaxation, with properties calculated at the PBE level.

```
data_AlAgSbAs2
_cell_length_a 4.940
_cell_length_b 4.940
_cell_length_c 5.580
_cell_angle_alpha 90.00
_cell_angle_beta 90.00
_cell_angle_gamma 90.00
_space_group_name_H-M_alt 'P 4/m m m'
_space_group_IT_number 123
_space_group_name_Hall '-P 4 2'
loop_
_atom_site_label
_atom_site_type_symbol
_atom_site_fract_x
_atom_site_fract_y
_atom_site_fract_z
Al1 Al 0.000 0.000 0.000
Ag1 Ag 0.500 0.500 0.500
Sb1 Sb 0.500 0.500 0.000
As1 As 0.000 0.500 0.500
```

Results
N(E_F) = 1.065 states/eV/atom
Raw formation energy = 883 meV per atom
Magnetic moment = 0.00 μB/cell

Record 7
Below is AlAgAs2Se after structural relaxation, with properties calculated at the PBE level.

```
data_AlAgAs2Se
_cell_length_a 5.016
_cell_length_b 5.016
_cell_length_c 5.162
_cell_angle_alpha 90.00
_cell_angle_beta 90.00
_cell_angle_gamma 90.00
_space_group_name_H-M_alt 'P 4/m m m'
_space_group_IT_number 123
_space_group_name_Hall '-P 4 2'
loop_
_atom_site_label
_atom_site_type_symbol
_atom_site_fract_x
_atom_site_fract_y
_atom_site_fract_z
Al1 Al 0.000 0.000 0.000
Ag1 Ag 0.500 0.500 0.500
As1 As 0.000 0.500 0.500
Se1 Se 0.500 0.500 0.000
```

Results
N(E_F) = 1.171 states/eV/atom
Distance to the lowest polymorph of the same formula = 368.4 meV per atom
Raw formation energy = 859 meV per atom
Magnetic moment = 0.53 μB/cell

Record 8
Below is AlAgAs2Se after structural relaxation, with properties calculated at the PBE level.

```
data_AlAgAs2Se
_cell_length_a 4.855
_cell_length_b 4.855
_cell_length_c 4.957
_cell_angle_alpha 90.00
_cell_angle_beta 90.00
_cell_angle_gamma 90.00
_space_group_name_H-M_alt 'P 4/m m m'
_space_group_IT_number 123
_space_group_name_Hall '-P 4 2'
loop_
_atom_site_label
_atom_site_type_symbol
_atom_site_fract_x
_atom_site_fract_y
_atom_site_fract_z
Al1 Al 0.000 0.000 0.000
Ag1 Ag 0.500 0.500 0.500
As1 As 0.000 0.500 0.000
Se1 Se 0.000 0.000 0.500
```

Results
N(E_F) = 0.811 states/eV/atom
Distance to the lowest polymorph of the same formula = 0.0 meV per atom
Raw formation energy = 490 meV per atom
Magnetic moment = 0.00 μB/cell

Record 9
Below is AlTl2AgAs after structural relaxation, with properties calculated at the PBE level.

```
data_AlTl2AgAs
_cell_length_a 5.358
_cell_length_b 5.358
_cell_length_c 4.927
_cell_angle_alpha 90.00
_cell_angle_beta 90.00
_cell_angle_gamma 90.00
_space_group_name_H-M_alt 'P 4/m m m'
_space_group_IT_number 123
_space_group_name_Hall '-P 4 2'
loop_
_atom_site_label
_atom_site_type_symbol
_atom_site_fract_x
_atom_site_fract_y
_atom_site_fract_z
Al1 Al 0.000 0.000 0.000
Tl1 Tl 0.000 0.500 0.000
Ag1 Ag 0.000 0.000 0.500
As1 As 0.500 0.500 0.500
```

Results
N(E_F) = 0.935 states/eV/atom
E_form = 0.5809 eV/atom
Magnetic moment = 0.00 μB/cell

Record 10
Below is AlAg2Au after structural relaxation, with properties calculated at the PBE level.

```
data_AlAg2Au
_cell_length_a 2.930
_cell_length_b 2.930
_cell_length_c 8.049
_cell_angle_alpha 90.00
_cell_angle_beta 90.00
_cell_angle_gamma 90.00
_space_group_name_H-M_alt 'P 4/m m m'
_space_group_IT_number 123
_space_group_name_Hall '-P 4 2'
loop_
_atom_site_label
_atom_site_type_symbol
_atom_site_fract_x
_atom_site_fract_y
_atom_site_fract_z
Al1 Al 0.000 0.000 0.000
Ag1 Ag 0.500 0.500 0.233
Au1 Au 0.000 0.000 0.500
```

Results
N(E_F) = 0.444 states/eV/atom
E_form = -0.0444 eV/atom
Magnetic moment = 0.00 μB/cell

Record 11
Below is AlAgAu2 after structural relaxation, with properties calculated at the PBE level.

```
data_AlAgAu2
_cell_length_a 7.365
_cell_length_b 7.365
_cell_length_c 5.518
_cell_angle_alpha 90.00
_cell_angle_beta 90.00
_cell_angle_gamma 90.00
_space_group_name_H-M_alt 'I -4 2 d'
_space_group_IT_number 122
_space_group_name_Hall 'I -4 2bw'
loop_
_atom_site_label
_atom_site_type_symbol
_atom_site_fract_x
_atom_site_fract_y
_atom_site_fract_z
Al1 Al 0.000 0.000 0.000
Ag1 Ag 0.000 0.000 0.500
Au1 Au 0.217 0.250 0.125
```

Results
N(E_F) = 0.294 states/eV/atom
E_form = -0.0833 eV/atom
Distance to the lowest polymorph of the same formula = 154.1 meV per atom
Magnetic moment = 0.00 μB/cell